Density functional theory data (PBE) for an optimized crystal structure of Hf2IrF.

Unit cell a=5.1884 b=5.1884 c=7.0685 alpha=68.47 beta=68.47 gamma=90.00
Atoms (fractional coordinates):
Ir 0.0000 0.0000 0.0000
Ir 0.7500 0.2500 0.5000
Hf 0.5735 0.1250 0.2500
Hf 0.1765 0.6250 0.2500
Hf 0.3750 0.4265 0.7500
Hf 0.8750 0.8235 0.7500
F 0.5000 0.5000 0.0000
F 0.2500 0.7500 0.5000

Summary:
The calculation puts the energy above the most stable polymorph in this dataset at 0.85 eV/f.u. For the total magnetization, the calculation gives 0.0 μB/cell. As for the final energy: -8.513 eV per atom. As for the space group: I-42d (122).